Record 1
Density functional theory data (GGA-PBE) for an optimized crystal structure of Te4O.

abc: 4.946 4.946 4.946
angles: 90.00 90.00 90.00
Space group Pm-3m (No. 221)
One atom of each set of equivalent atoms:
Te1 0.000 0.000 0.000 [1 per cell]
Te2 0.000 0.500 0.500 [3 per cell]
O1 0.500 0.500 0.500 [1 per cell]

Summary:
ΔE_f (raw) ... 0.275 eV/atom

***

Record 2
Density functional theory data (GGA-PBE) for an optimized crystal structure of Nd4Sm2HoTh.

abc: 6.086 6.093 7.316
angles: 90.00 90.11 90.00
Space group P2/m (No. 10)
One atom of each set of equivalent atoms:
Nd1 0.000 0.000 0.246 [2 per cell]
Nd2 0.500 0.500 0.246 [2 per cell]
Sm1 0.000 0.500 0.000 [1 per cell]
Sm2 0.500 0.000 0.500 [1 per cell]
Ho1 0.000 0.500 0.500 [1 per cell]
Th1 0.500 0.000 0.000 [1 per cell]

Summary:
ΔE_f ... 0.14 eV/atom

***

Record 3
Density functional theory data (GGA-PBE) for an optimized crystal structure of Cs2LiCaBe.

abc: 7.756 7.756 5.296
angles: 90.00 90.00 90.00
Space group P4/mmm (No. 123)
One atom of each set of equivalent atoms:
Cs1 0.000 0.500 0.000 [2 per cell]
Li1 0.000 0.000 0.500 [1 per cell]
Ca1 0.500 0.500 0.000 [1 per cell]
Be1 0.500 0.500 0.500 [1 per cell]

Summary:
ΔE_f ... 0.85 eV/atom

***

no.,DOS(E_F) (states/eV/f.u.)
1,3.389
2,15.951
3,6.117